(1)
## CaCr2CdGe (GGA-PBE)

Data for CaCr2CdGe after structural relaxation.

For the energy of formation, the calculation gives 0.539 eV per atom. As for the size of the total moment: 7.9 μB/f.u. The density of states at the Fermi level is 0.794 states/eV/atom. As for the uncorrected energy: -4.82 eV per atom.

The space group is P4/mmm (No. 123) and the conventional cell measures 4.849, 4.849 and 5.534 Å, with angles of 90.00, 90.00 and 90.00 degrees. The asymmetric unit holds Ca at (0.000, 0.000, 0.000), Cr at (0.000, 0.500, 0.500), Cd at (0.500, 0.500, 0.000) and Ge at (0.000, 0.000, 0.500).

(2)
## CaLaCr2Cd (GGA-PBE)

Data for CaLaCr2Cd after structural relaxation.

For the energy of formation, the calculation gives 0.843 eV per atom. As for the size of the total moment: 8.5 μB/f.u. The density of states at the Fermi level is 0.966 states/eV/atom. As for the uncorrected energy: -4.57 eV per atom.

The space group is P4/mmm (No. 123) and the conventional cell measures 5.266, 5.266 and 5.459 Å, with angles of 90.00, 90.00 and 90.00 degrees. The asymmetric unit holds Ca at (0.000, 0.000, 0.000), La at (0.500, 0.500, 0.000), Cr at (0.000, 0.500, 0.500) and Cd at (0.000, 0.000, 0.500).

Repeat the second record exactly.
## CaLaCr2Cd (GGA-PBE)

Data for CaLaCr2Cd after structural relaxation.

For the energy of formation, the calculation gives 0.843 eV per atom. As for the size of the total moment: 8.5 μB/f.u. The density of states at the Fermi level is 0.966 states/eV/atom. As for the uncorrected energy: -4.57 eV per atom.

The space group is P4/mmm (No. 123) and the conventional cell measures 5.266, 5.266 and 5.459 Å, with angles of 90.00, 90.00 and 90.00 degrees. The asymmetric unit holds Ca at (0.000, 0.000, 0.000), La at (0.500, 0.500, 0.000), Cr at (0.000, 0.500, 0.500) and Cd at (0.000, 0.000, 0.500).

> Which formula does entry 2 have?

CaLaCr2Cd

> The highest energy of formation belongs to which entry?

CaLaCr2Cd